1.
Here is a geometry-optimized BaLiDy structure from Alexandria. Energies are from PBE-GGA.

The structure belongs to space group C2/m (No. 12); the cell edges are 6.920, 6.456 and 10.999 Å and the angles 90.00°, 108.30° and 90.00°. The asymmetric unit holds Ba at (0.174, 0.000, 0.349), Li at (0.121, 0.500, 0.248) and Dy at (0.246, 0.000, 0.999).

Its formation enthalpy at 0 K is 0.94 eV/f.u. Its electronic total energy is -0.092 Ha/atom. The density of states at the Fermi level is 4.25 states/eV/f.u.

2.
Here is a geometry-optimized Al2SbIr structure from Alexandria. Energies are from PBE-GGA.

The structure belongs to space group Imm2 (No. 44); the cell edges are 2.967, 4.172 and 12.489 Å and the angles 90.00°, 90.00° and 90.00°. The asymmetric unit holds Al at (0.000, 0.000, 0.000), Al at (0.000, 0.500, 0.173), Sb at (0.000, 0.500, 0.802) and Ir at (0.000, 0.000, 0.507).

Its electronic total energy is -0.198 Ha/atom. The density of states at the Fermi level is 1.51 states/eV/f.u.

3.
Here is a geometry-optimized BaTaW2 structure from Alexandria. Energies are from PBE-GGA.

The structure belongs to space group Pmmm (No. 47); the cell edges are 3.530, 3.549 and 7.782 Å and the angles 90.00°, 90.00° and 90.00°. The asymmetric unit holds Ba at (0.000, 0.000, 0.000), Ta at (0.000, 0.000, 0.500) and W at (0.500, 0.500, 0.344).

Its formation enthalpy at 0 K is 3.35 eV/f.u. Its electronic total energy is -0.334 Ha/atom. The density of states at the Fermi level is 6.80 states/eV/f.u.

4.
Here is a geometry-optimized LiYSe3 structure from Alexandria. Energies are from PBE-GGA.

The structure belongs to space group Pm-3m (No. 221); the cell edges are 5.508, 5.508 and 5.508 Å and the angles 90.00°, 90.00° and 90.00°. The asymmetric unit holds Li at (0.000, 0.000, 0.000), Y at (0.500, 0.500, 0.500) and Se at (0.000, 0.500, 0.500).

Its electronic total energy is -0.165 Ha/atom. The density of states at the Fermi level is 6.19 states/eV/f.u.

5.
Here is a geometry-optimized Al3Ir structure from Alexandria. Energies are from PBE-GGA.

The structure belongs to space group Pm-3n (No. 223); the cell edges are 4.901, 4.901 and 4.901 Å and the angles 90.00°, 90.00° and 90.00°. The asymmetric unit holds Al at (0.000, 0.250, 0.500) and Ir at (0.000, 0.000, 0.000).

Its formation enthalpy at 0 K is -2.46 eV/f.u. Its electronic total energy is -0.207 Ha/atom. The density of states at the Fermi level is 0.84 states/eV/f.u.

6.
Here is a geometry-optimized Tb3NdPu2Te6 structure from Alexandria. Energies are from PBE-GGA.

The structure belongs to space group C2/m (No. 12); the cell edges are 19.266, 4.393 and 8.863 Å and the angles 90.00°, 103.64° and 90.00°. The asymmetric unit holds Tb at (0.000, 0.000, 0.000), Tb at (0.165, 0.500, 0.334), Nd at (0.000, 0.000, 0.500), Pu at (0.166, 0.500, 0.833), Te at (0.000, 0.500, 0.243), Te at (0.166, 0.000, 0.086) and Te at (0.170, 0.000, 0.583).

Its electronic total energy is -0.250 Ha/atom. The density of states at the Fermi level is 23.55 states/eV/f.u.

7.
Here is a geometry-optimized PrSm2Te structure from Alexandria. Energies are from PBE-GGA.

The structure belongs to space group P4/mmm (No. 123); the cell edges are 3.954, 3.954 and 8.043 Å and the angles 90.00°, 90.00° and 90.00°. The asymmetric unit holds Pr at (0.000, 0.000, 0.000), Sm at (0.500, 0.500, 0.282) and Te at (0.000, 0.000, 0.500).

Its electronic total energy is -0.181 Ha/atom. The density of states at the Fermi level is 4.82 states/eV/f.u.

8.
Here is a geometry-optimized Mn2AsAu2 structure from Alexandria. Energies are from PBE-GGA.

The structure belongs to space group P4/mbm (No. 127); the cell edges are 6.476, 6.476 and 4.062 Å and the angles 90.00°, 90.00° and 90.00°. The asymmetric unit holds Mn at (0.153, 0.347, 0.000), As at (0.000, 0.000, 0.000) and Au at (0.151, 0.651, 0.500).

Its formation enthalpy at 0 K is 0.41 eV/f.u. Its electronic total energy is -0.214 Ha/atom. The density of states at the Fermi level is 3.25 states/eV/f.u.

9.
Here is a geometry-optimized CsSrBi2 structure from Alexandria. Energies are from PBE-GGA.

The structure belongs to space group R-3m (No. 166, hexagonal axes); the cell edges are 4.1211, 4.1211 and 34.1185 Å and the angles 90.00°, 90.00° and 120.00°. The asymmetric unit holds Cs at (0.0000, 0.0000, 0.0000), Sr at (0.0000, 0.0000, 0.5000) and Bi at (0.0000, 0.0000, 0.2416).

Its formation enthalpy at 0 K is -1.36 eV/f.u. Its electronic total energy is -0.107 Ha/atom. The density of states at the Fermi level is 2.76 states/eV/f.u.

10.
Here is a geometry-optimized Hf2H3 structure from Alexandria. Energies are from PBE-GGA.

The structure belongs to space group Fddd (No. 70, origin choice 2); the cell edges are 6.149, 8.663 and 18.155 Å and the angles 90.00°, 90.00° and 90.00°. The asymmetric unit holds Hf at (0.125, 0.125, 0.041), Hf at (0.125, 0.125, 0.376), H at (0.111, 0.375, 0.375) and H at (0.113, 0.367, 0.204).

Its electronic total energy is -0.224 Ha/atom. The density of states at the Fermi level is 1.81 states/eV/f.u.

11.
Here is a geometry-optimized Zn2CoMo structure from Alexandria. Energies are from PBE-GGA.

The structure belongs to space group P4mm (No. 99); the cell edges are 2.785, 2.785 and 7.002 Å and the angles 90.00°, 90.00° and 90.00°. The asymmetric unit holds Zn at (0.000, 0.000, 0.000), Zn at (0.500, 0.500, 0.265), Co at (0.000, 0.000, 0.490) and Mo at (0.500, 0.500, 0.721).

Its formation enthalpy at 0 K is -0.01 eV/f.u. Its electronic total energy is -0.188 Ha/atom. The density of states at the Fermi level is 3.43 states/eV/f.u.

12.
Here is a geometry-optimized ZnGaCuSe3 structure from Alexandria. Energies are from PBE-GGA.

The structure belongs to space group Cm (No. 8); the cell edges are 13.320, 4.030 and 5.695 Å and the angles 90.00°, 115.29° and 90.00°. The asymmetric unit holds Zn at (0.000, 0.000, 0.000), Ga at (0.328, 0.000, 0.342), Cu at (0.164, 0.500, 0.655), Se at (0.000, 0.500, 0.744), Se at (0.164, 0.000, 0.422) and Se at (0.327, 0.500, 0.077).

Its electronic total energy is -0.136 Ha/atom. The density of states at the Fermi level is 0.45 states/eV/f.u.

13.
Here is a geometry-optimized Th4GeAs2Se structure from Alexandria. Energies are from PBE-GGA.

The structure belongs to space group P2/m (No. 10); the cell edges are 7.360, 4.259 and 7.389 Å and the angles 90.00°, 109.45° and 90.00°. The asymmetric unit holds Th at (0.244, 0.000, 0.246), Th at (0.246, 0.500, 0.751), Ge at (0.000, 0.000, 0.500), As at (0.000, 0.500, 0.000), As at (0.500, 0.000, 0.000) and Se at (0.500, 0.500, 0.500).

Its electronic total energy is -0.264 Ha/atom. The density of states at the Fermi level is 5.48 states/eV/f.u.

14.
Here is a geometry-optimized LiDy2PuS5 structure from Alexandria. Energies are from PBE-GGA.

The structure belongs to space group Cmc2_1 (No. 36); the cell edges are 3.907, 16.212 and 11.737 Å and the angles 90.00°, 90.00° and 90.00°. The asymmetric unit holds Li at (0.000, 0.017, 0.000), Dy at (0.000, 0.377, 0.816), Dy at (0.000, 0.392, 0.205), Pu at (0.000, 0.301, 0.522), S at (0.000, 0.000, 0.303), S at (0.000, 0.133, 0.522), S at (0.000, 0.191, 0.860), S at (0.000, 0.211, 0.185) and S at (0.000, 0.454, 0.596).

Its electronic total energy is -0.252 Ha/atom. The density of states at the Fermi level is 11.67 states/eV/f.u.

15.
Here is a geometry-optimized ZrV3Ru structure from Alexandria. Energies are from PBE-GGA.

The structure belongs to space group Pm-3m (No. 221); the cell edges are 4.542, 4.542 and 4.542 Å and the angles 90.00°, 90.00° and 90.00°. The asymmetric unit holds Zr at (0.000, 0.000, 0.000), V at (0.000, 0.000, 0.500) and Ru at (0.500, 0.500, 0.500).

Its formation enthalpy at 0 K is 9.32 eV/f.u. Its electronic total energy is -0.264 Ha/atom. The density of states at the Fermi level is 7.66 states/eV/f.u.

16.
Here is a geometry-optimized CrRe2Te structure from Alexandria. Energies are from PBE-GGA.

The structure belongs to space group P4/mmm (No. 123); the cell edges are 3.074, 3.074 and 6.665 Å and the angles 90.00°, 90.00° and 90.00°. The asymmetric unit holds Cr at (0.000, 0.000, 0.000), Re at (0.500, 0.500, 0.220) and Te at (0.000, 0.000, 0.500).

Its electronic total energy is -0.327 Ha/atom. The density of states at the Fermi level is 2.11 states/eV/f.u.

17.
Here is a geometry-optimized MgGaPb structure from Alexandria. Energies are from PBE-GGA.

The structure belongs to space group P1 (No. 1); the cell edges are 3.440, 4.927 and 9.498 Å and the angles 90.15°, 99.98° and 110.15°. The asymmetric unit holds Mg at (0.000, 0.000, 0.000), Mg at (0.403, 0.077, 0.718), Ga at (0.214, 0.548, 0.872), Ga at (0.782, 0.456, 0.113), Pb at (0.017, 0.486, 0.536) and Pb at (0.608, 0.922, 0.301).

Its formation enthalpy at 0 K is -0.03 eV/f.u. Its electronic total energy is -0.102 Ha/atom. The density of states at the Fermi level is 0.95 states/eV/f.u.

18.
Here is a geometry-optimized TiTcIO2 structure from Alexandria. Energies are from PBE-GGA.

The structure belongs to space group P4/mmm (No. 123); the cell edges are 3.872, 3.872 and 5.975 Å and the angles 90.00°, 90.00° and 90.00°. The asymmetric unit holds Ti at (0.000, 0.000, 0.000), Tc at (0.500, 0.500, 0.500), I at (0.000, 0.000, 0.500) and O at (0.000, 0.500, 0.000).

Its electronic total energy is -0.244 Ha/atom. The density of states at the Fermi level is 3.38 states/eV/f.u.

19.
Here is a geometry-optimized Li4DyTm3Se8 structure from Alexandria. Energies are from PBE-GGA.

The structure belongs to space group R-3m (No. 166, hexagonal axes); the cell edges are 8.0642, 8.0642 and 19.4708 Å and the angles 90.00°, 90.00° and 120.00°. The asymmetric unit holds Li at (0.0000, 0.0000, 0.0000), Li at (0.0000, 0.5000, 0.0000), Dy at (0.0000, 0.0000, 0.5000), Tm at (0.0000, 0.5000, 0.5000), Se at (0.0000, 0.0000, 0.2500) and Se at (0.0027, 0.5013, 0.7495).

Its electronic total energy is -0.185 Ha/atom. The density of states at the Fermi level is 0.00 states/eV/f.u.

20.
Here is a geometry-optimized Sc2AlZnH structure from Alexandria. Energies are from PBE-GGA.

The structure belongs to space group P4/mmm (No. 123); the cell edges are 4.447, 4.447 and 3.934 Å and the angles 90.00°, 90.00° and 90.00°. The asymmetric unit holds Sc at (0.000, 0.500, 0.000), Al at (0.000, 0.000, 0.500), Zn at (0.500, 0.500, 0.500) and H at (0.000, 0.000, 0.000).

Its electronic total energy is -0.165 Ha/atom. The density of states at the Fermi level is 2.64 states/eV/f.u.

Number 1: total magnetization 0.00 μB/atom, calculated volume 38.876 Å³ per atom. Number 2: total magnetization 0.00 μB/atom, calculated volume 19.322 Å³ per atom. Number 3: total magnetization 0.04 μB/atom, calculated volume 24.374 Å³ per atom. Number 4: total magnetization 0.17 μB/atom, calculated volume 33.423 Å³ per atom. Number 5: total magnetization 0.00 μB/atom, calculated volume 14.719 Å³ per atom. Number 6: total magnetization 1.00 μB/atom, calculated volume 30.371 Å³ per atom. Number 7: total magnetization 0.00 μB/atom, calculated volume 31.437 Å³ per atom. Number 8: total magnetization 1.35 μB/atom, calculated volume 17.036 Å³ per atom. Number 9: total magnetization 0.00 μB/atom, calculated volume 41.818 Å³ per atom. Number 10: total magnetization 0.00 μB/atom, calculated volume 12.088 Å³ per atom. Number 11: total magnetization 0.00 μB/atom, calculated volume 13.581 Å³ per atom. Number 12: total magnetization 0.00 μB/atom, calculated volume 23.035 Å³ per atom. Number 13: total magnetization 0.00 μB/atom, calculated volume 27.300 Å³ per atom. Number 14: total magnetization 0.56 μB/atom, calculated volume 20.649 Å³ per atom. Number 15: total magnetization 0.65 μB/atom, calculated volume 18.743 Å³ per atom. Number 16: total magnetization 0.00 μB/atom, calculated volume 15.746 Å³ per atom. Number 17: total magnetization 0.00 μB/atom, calculated volume 24.750 Å³ per atom. Number 18: total magnetization 0.68 μB/atom, calculated volume 17.915 Å³ per atom. Number 19: total magnetization 0.00 μB/atom, calculated volume 22.844 Å³ per atom. Number 20: total magnetization 0.03 μB/atom, calculated volume 15.562 Å³ per atom.